Below is InAs3 after structural relaxation, with properties calculated at the PBE-GGA level.

Output
**Crystal system**: orthorhombic
**Formation energy from the elements**: 36.6 kJ/mol of formula units

```
data_InAs3
_chemical_formula_sum 'In4 As12'
_space_group_name_H-M_alt 'C m c m'
_space_group_IT_number 63
_space_group_name_Hall '-C 2c 2'
_cell_length_a 7.154
_cell_length_b 15.379
_cell_length_c 3.682
_cell_angle_alpha 90.00
_cell_angle_beta 90.00
_cell_angle_gamma 90.00
loop_
_atom_site_label
_atom_site_fract_x
_atom_site_fract_y
_atom_site_fract_z
In1 0.000 0.079 0.250
As1 0.000 0.449 0.250
As2 0.204 0.300 0.750
```


Below is InAs2 after structural relaxation, with properties calculated at the PBE-GGA level.

Output
**Crystal system**: monoclinic
**Formation energy from the elements**: 5.0 kJ/mol of formula units

```
data_InAs2
_chemical_formula_sum 'In4 As8'
_space_group_name_H-M_alt 'C 1 2/m 1'
_space_group_IT_number 12
_cell_length_a 12.828
_cell_length_b 3.787
_cell_length_c 5.877
_cell_angle_alpha 90.00
_cell_angle_beta 92.18
_cell_angle_gamma 90.00
loop_
_space_group_symop_operation_xyz
'x,y,z'
'-x,-y,-z'
'-x,y,-z'
'x,-y,z'
'x+1/2,y+1/2,z'
'-x+1/2,-y+1/2,-z'
'-x+1/2,y+1/2,-z'
'x+1/2,-y+1/2,z'
loop_
_atom_site_label
_atom_site_fract_x
_atom_site_fract_y
_atom_site_fract_z
In1 0.171 0.000 0.244
As1 0.009 0.500 0.717
As2 0.148 0.000 0.753
```


Among the records above, which one has the lowest formation energy from the elements?
InAs2


Look up the formation energy from the elements of the second one.
5.0 kJ/mol of formula units


Which value of formation energy from the elements does entry 2 give?
5.0 kJ/mol of formula units